# LaCuAg, relaxed, DFT PBE
# ΔE to the lowest computed polymorph   124.2 meV/atom
# SG   I4mm, No. 107
# Uncorrected energy   -4.075 eV per atom
# DFT formation energy   -0.117 eV per atom
# Crystal system   tetragonal
data_LaCuAg
_cell_length_a 5.673
_cell_length_b 5.673
_cell_length_c 5.673
_cell_angle_alpha 142.62
_cell_angle_beta 142.69
_cell_angle_gamma 53.85
_space_group_name_H-M_alt 'P 1'
_space_group_IT_number 1
_space_group_name_Hall 'P 1'
loop_
_atom_site_label
_atom_site_fract_x
_atom_site_fract_y
_atom_site_fract_z
Ag1 0.974 0.974 0.000
Cu1 0.354 0.354 0.000
La1 0.672 0.672 0.000



# KRb2LiAu, relaxed, DFT PBE
# ΔE to the lowest computed polymorph   73.4 meV/atom
# SG   P4/mmm, No. 123
# Uncorrected energy   -1.641 eV per atom
# DFT formation energy   0.004 eV per atom
# Crystal system   tetragonal
data_KRb2LiAu
_cell_length_a 6.741
_cell_length_b 6.741
_cell_length_c 6.481
_cell_angle_alpha 90.00
_cell_angle_beta 90.00
_cell_angle_gamma 90.00
_space_group_name_H-M_alt 'P 1'
_space_group_IT_number 1
_space_group_name_Hall 'P 1'
loop_
_atom_site_label
_atom_site_fract_x
_atom_site_fract_y
_atom_site_fract_z
K1 0.000 0.000 0.500
Au1 0.000 0.000 0.000
Rb1 0.000 0.500 0.000
Rb2 0.500 0.000 0.000
Li1 0.500 0.500 0.500



# NpFe6, relaxed, DFT PBE
# ΔE to the lowest computed polymorph   725.7 meV/atom
# SG   Im-3m, No. 229
# Uncorrected energy   -8.293 eV per atom
# DFT formation energy   0.809 eV per atom
# Crystal system   cubic
data_NpFe6
_cell_length_a 5.196
_cell_length_b 5.196
_cell_length_c 5.196
_cell_angle_alpha 109.47
_cell_angle_beta 109.47
_cell_angle_gamma 109.47
_space_group_name_H-M_alt 'P 1'
_space_group_IT_number 1
_space_group_name_Hall 'P 1'
loop_
_atom_site_label
_atom_site_fract_x
_atom_site_fract_y
_atom_site_fract_z
Np1 0.000 0.000 0.000
Fe1 0.250 0.750 0.500
Fe2 0.500 0.750 0.250
Fe3 0.250 0.500 0.750
Fe4 0.750 0.250 0.500
Fe5 0.500 0.250 0.750
Fe6 0.750 0.500 0.250



| no. | calculated volume (Å³/atom) |
| --- | --- |
| 1 | 22.254 |
| 2 | 58.898 |
| 3 | 15.427 |